No. 1
DFT (PBE) results for a relaxed TiCdI2N crystal. Values from VASP.

```
&SYSTEM
  ibrav = 0, nat = 5, ntyp = 4
/
ATOMIC_SPECIES
Ti 47.87 Ti.upf
Cd 112.41 Cd.upf
I 126.90 I.upf
N 14.01 N.upf
CELL_PARAMETERS angstrom
5.889 0.000 0.000
0.000 5.889 0.000
0.000 0.000 4.048
ATOMIC_POSITIONS angstrom
Ti 0.000 0.000 0.000
Cd 2.945 2.945 2.024
I 0.000 2.945 2.024
I 2.945 0.000 2.024
N 2.945 2.945 0.000
```

Output
The value obtained for the excess energy over the best structure of this formula in the dataset is 1285 meV per atom. Its uncorrected formation energy is 1.133 eV/atom. Its calculated volume is 28.1 Å³/atom.


No. 2
DFT (PBE) results for a relaxed TiCdI2N crystal. Values from VASP.

```
&SYSTEM
  ibrav = 0, nat = 5, ntyp = 4
/
ATOMIC_SPECIES
Ti 47.87 Ti.upf
Cd 112.41 Cd.upf
I 126.90 I.upf
N 14.01 N.upf
CELL_PARAMETERS angstrom
5.806 0.000 0.000
0.000 5.806 0.000
0.000 0.000 3.796
ATOMIC_POSITIONS angstrom
Ti 0.000 0.000 0.000
Cd 2.903 2.903 1.898
I 0.000 2.903 0.000
I 2.903 0.000 0.000
N 0.000 0.000 1.898
```

Output
The value obtained for the excess energy over the best structure of this formula in the dataset is 0 meV per atom. Its uncorrected formation energy is -0.152 eV/atom. Its calculated volume is 25.6 Å³/atom.


No. 3
DFT (PBE) results for a relaxed TiCdIN2 crystal. Values from VASP.

```
&SYSTEM
  ibrav = 0, nat = 5, ntyp = 4
/
ATOMIC_SPECIES
Ti 47.87 Ti.upf
Cd 112.41 Cd.upf
I 126.90 I.upf
N 14.01 N.upf
CELL_PARAMETERS angstrom
4.190 0.000 0.000
0.000 4.190 0.000
0.000 0.000 5.760
ATOMIC_POSITIONS angstrom
Ti 0.000 0.000 0.000
Cd 2.095 2.095 2.880
I 2.095 2.095 0.000
N 0.000 2.095 2.880
N 2.095 0.000 2.880
```

Output
The value obtained for the excess energy over the best structure of this formula in the dataset is 1460 meV per atom. Its uncorrected formation energy is 1.811 eV/atom. Its calculated volume is 20.2 Å³/atom.


No. 4
DFT (PBE) results for a relaxed TlCdIN2 crystal. Values from VASP.

```
&SYSTEM
  ibrav = 0, nat = 5, ntyp = 4
/
ATOMIC_SPECIES
Tl 204.38 Tl.upf
Cd 112.41 Cd.upf
I 126.90 I.upf
N 14.01 N.upf
CELL_PARAMETERS angstrom
4.411 0.000 0.000
0.000 4.411 0.000
0.000 0.000 7.260
ATOMIC_POSITIONS angstrom
Tl 0.000 0.000 0.000
Cd 2.206 2.206 3.630
I 0.000 0.000 3.630
N 0.000 2.206 0.000
N 2.206 0.000 0.000
```

Output
The value obtained for the excess energy over the best structure of this formula in the dataset is 255 meV per atom. Its uncorrected formation energy is 1.577 eV/atom. Its calculated volume is 28.3 Å³/atom.


No. 5
DFT (PBE) results for a relaxed TlCdIN2 crystal. Values from VASP.

```
&SYSTEM
  ibrav = 0, nat = 5, ntyp = 4
/
ATOMIC_SPECIES
Tl 204.38 Tl.upf
Cd 112.41 Cd.upf
I 126.90 I.upf
N 14.01 N.upf
CELL_PARAMETERS angstrom
4.709 0.000 0.000
0.000 4.709 0.000
0.000 0.000 6.346
ATOMIC_POSITIONS angstrom
Tl 0.000 0.000 0.000
Cd 2.355 2.355 3.173
I 2.355 2.355 0.000
N 0.000 2.355 3.173
N 2.355 0.000 3.173
```

Output
The value obtained for the excess energy over the best structure of this formula in the dataset is 0 meV per atom. Its uncorrected formation energy is 1.322 eV/atom. Its calculated volume is 28.2 Å³/atom.


No. 6
DFT (PBE) results for a relaxed VCdIN2 crystal. Values from VASP.

```
&SYSTEM
  ibrav = 0, nat = 5, ntyp = 4
/
ATOMIC_SPECIES
V 50.94 V.upf
Cd 112.41 Cd.upf
I 126.90 I.upf
N 14.01 N.upf
CELL_PARAMETERS angstrom
3.934 0.000 0.000
0.000 3.934 0.000
0.000 0.000 5.687
ATOMIC_POSITIONS angstrom
V 0.000 0.000 0.000
Cd 1.967 1.967 2.844
I 0.000 0.000 2.844
N 0.000 1.967 0.000
N 1.967 0.000 0.000
```

Output
The value obtained for the excess energy over the best structure of this formula in the dataset is 0 meV per atom. Its uncorrected formation energy is 0.548 eV/atom. Its calculated volume is 17.6 Å³/atom.


No. 7
DFT (PBE) results for a relaxed VCdIN2 crystal. Values from VASP.

```
&SYSTEM
  ibrav = 0, nat = 5, ntyp = 4
/
ATOMIC_SPECIES
V 50.94 V.upf
Cd 112.41 Cd.upf
I 126.90 I.upf
N 14.01 N.upf
CELL_PARAMETERS angstrom
4.284 0.000 0.000
0.000 4.284 0.000
0.000 0.000 6.156
ATOMIC_POSITIONS angstrom
V 0.000 0.000 0.000
Cd 2.142 2.142 3.078
I 2.142 2.142 0.000
N 0.000 2.142 3.078
N 2.142 0.000 3.078
```

Output
The value obtained for the excess energy over the best structure of this formula in the dataset is 1230 meV per atom. Its uncorrected formation energy is 1.778 eV/atom. Its calculated volume is 22.6 Å³/atom.


No. 8
DFT (PBE) results for a relaxed VCdI2N crystal. Values from VASP.

```
&SYSTEM
  ibrav = 0, nat = 5, ntyp = 4
/
ATOMIC_SPECIES
V 50.94 V.upf
Cd 112.41 Cd.upf
I 126.90 I.upf
N 14.01 N.upf
CELL_PARAMETERS angstrom
5.698 0.000 0.000
0.000 5.698 0.000
0.000 0.000 3.719
ATOMIC_POSITIONS angstrom
V 0.000 0.000 0.000
Cd 2.849 2.849 1.860
I 0.000 2.849 0.000
I 2.849 0.000 0.000
N 0.000 0.000 1.860
```

Output
The value obtained for the excess energy over the best structure of this formula in the dataset is 0 meV per atom. Its uncorrected formation energy is 0.017 eV/atom. Its calculated volume is 24.1 Å³/atom.


What did the sixth record say?
DFT (PBE) results for a relaxed VCdIN2 crystal. Values from VASP.

```
&SYSTEM
  ibrav = 0, nat = 5, ntyp = 4
/
ATOMIC_SPECIES
V 50.94 V.upf
Cd 112.41 Cd.upf
I 126.90 I.upf
N 14.01 N.upf
CELL_PARAMETERS angstrom
3.934 0.000 0.000
0.000 3.934 0.000
0.000 0.000 5.687
ATOMIC_POSITIONS angstrom
V 0.000 0.000 0.000
Cd 1.967 1.967 2.844
I 0.000 0.000 2.844
N 0.000 1.967 0.000
N 1.967 0.000 0.000
```

Output
The value obtained for the excess energy over the best structure of this formula in the dataset is 0 meV per atom. Its uncorrected formation energy is 0.548 eV/atom. Its calculated volume is 17.6 Å³/atom.